## TaReNO (PBE)

Data for an optimized crystal structure of TaReNO.

Results
space group = Pmc2_1, No. 26
total DFT energy (no corrections) = -81.9 eV/cell

a = 3.0368 Å, b = 5.9062 Å, c = 5.4158 Å
α = 90.00°, β = 90.00°, γ = 90.00°
Closest atoms and distances in Å follow each position.
Fractional coordinates of all 8 atoms:
Ta (0.0000, 0.2214, 0.0000)  2 N 2.08, 2 O 2.08-2.10
Ta (0.0000, 0.7786, 0.5000)  2 N 2.08, 2 O 2.08-2.10
Re (0.5000, 0.3799, 0.6191)  2 N 2.00-2.07, 2 O 2.20
Re (0.5000, 0.6201, 0.1191)  2 N 2.00-2.07, 2 O 2.20
N (0.5000, 0.3024, 0.2459)  2 Re 2.00-2.07, 2 Ta 2.08
N (0.5000, 0.6976, 0.7459)  2 Re 2.00-2.07, 2 Ta 2.08
O (0.0000, 0.1098, 0.6324)  2 Ta 2.08-2.10, 2 Re 2.20
O (0.0000, 0.8902, 0.1324)  2 Ta 2.08-2.10, 2 Re 2.20

## TbCN5 (PBE)

Data for an optimized crystal structure of TbCN5.

Results
space group = P1, No. 1
total DFT energy (no corrections) = -54.9 eV/cell

a = 4.3455 Å, b = 4.4919 Å, c = 5.0867 Å
α = 107.55°, β = 113.09°, γ = 90.83°
Closest atoms and distances in Å follow each position.
Fractional coordinates of all 7 atoms:
Tb (0.0000, 0.0000, 0.0000)  5 N 2.28-2.47
C (0.4832, 0.3045, 0.7455)  3 N 1.32-1.34
N (0.2500, 0.3253, 0.4928)  1 C 1.32
N (0.4453, 0.1271, 0.9013)  1 C 1.33
N (0.5116, 0.7680, 0.3262)  1 N 1.13
N (0.7774, 0.7956, 0.3430)  1 N 1.13
N (0.7950, 0.4526, 0.8369)  1 C 1.34

## NaIrNO (PBE)

Data for an optimized crystal structure of NaIrNO.

Results
space group = P4/nmm, No. 129
total DFT energy (no corrections) = -44.0 eV/cell

a = 3.6715 Å, b = 3.6715 Å, c = 8.6823 Å
α = 90.00°, β = 90.00°, γ = 90.00°
Closest atoms and distances in Å follow each position.
Fractional coordinates of all 8 atoms:
Na (0.2500, 0.2500, 0.1484)  4 O 2.24
Na (0.7500, 0.7500, 0.8516)  4 O 2.24
Ir (0.2500, 0.7500, 0.5000)  4 N 2.11
Ir (0.7500, 0.2500, 0.5000)  4 N 2.11
N (0.2500, 0.2500, 0.6205)  4 Ir 2.11
N (0.7500, 0.7500, 0.3795)  4 Ir 2.11
O (0.2500, 0.7500, 0.0000)  4 Na 2.24
O (0.7500, 0.2500, 0.0000)  4 Na 2.24